The following is a PBE-GGA calculation of an optimized crystal structure of SrBeAl, from Alexandria.

Cell lengths 7.1147, 7.1147, 7.1147 Å; angles 90.00, 90.00, 90.00 degrees
Last column: nearest neighbours and their distance in Å.
Fractional coordinates of all 12 atoms:
1 Sr 0.0000 0.0000 0.0000  4 Al 3.08, 4 Be 3.08
2 Sr 0.0000 0.5000 0.5000  4 Al 3.08, 4 Be 3.08
3 Sr 0.5000 0.0000 0.5000  4 Al 3.08, 4 Be 3.08
4 Sr 0.5000 0.5000 0.0000  4 Al 3.08, 4 Be 3.08
5 Be 0.2500 0.2500 0.2500  4 Sr 3.08
6 Be 0.2500 0.7500 0.7500  4 Sr 3.08
7 Be 0.7500 0.2500 0.7500  4 Sr 3.08
8 Be 0.7500 0.7500 0.2500  4 Sr 3.08
9 Al 0.2500 0.2500 0.7500  4 Sr 3.08
10 Al 0.2500 0.7500 0.2500  4 Sr 3.08
11 Al 0.7500 0.2500 0.2500  4 Sr 3.08
12 Al 0.7500 0.7500 0.7500  4 Sr 3.08

Computed properties:
**Symmetry**: No. 216
**Total magnetization**: 0.00 μB per formula unit
**Polymorph energy (0 for the lowest one)**: 100.74 kJ/mol of atoms
**DFT formation energy**: 1.060 eV/atom

The following is a PBE-GGA calculation of an optimized crystal structure of Sr2BeAl, from Alexandria.

Cell lengths 8.6493, 8.6493, 6.8819 Å; angles 90.00, 90.00, 90.00 degrees
Last column: nearest neighbours and their distance in Å.
Fractional coordinates of all 16 atoms:
1 Sr 0.2196 0.2500 0.1250  2 Be 3.00, 2 Al 3.36
2 Sr 0.2500 0.7196 0.3750  2 Be 3.00, 2 Al 3.36
3 Sr 0.2500 0.7804 0.8750  2 Be 3.00, 2 Al 3.36
4 Sr 0.2804 0.2500 0.6250  2 Be 3.00, 2 Al 3.36
5 Sr 0.7196 0.7500 0.6250  2 Be 3.00, 2 Al 3.36
6 Sr 0.7500 0.2196 0.8750  2 Be 3.00, 2 Al 3.36
7 Sr 0.7500 0.2804 0.3750  2 Be 3.00, 2 Al 3.36
8 Sr 0.7804 0.7500 0.1250  2 Be 3.00, 2 Al 3.36
9 Be 0.0000 0.0000 0.0000  4 Sr 3.00
10 Be 0.0000 0.5000 0.2500  4 Sr 3.00
11 Be 0.5000 0.0000 0.7500  4 Sr 3.00
12 Be 0.5000 0.5000 0.5000  4 Sr 3.00
13 Al 0.0000 0.0000 0.5000  4 Sr 3.36, 2 Be 3.44
14 Al 0.0000 0.5000 0.7500  4 Sr 3.36, 2 Be 3.44
15 Al 0.5000 0.0000 0.2500  4 Sr 3.36, 2 Be 3.44
16 Al 0.5000 0.5000 0.0000  4 Sr 3.36, 2 Be 3.44

Computed properties:
**Symmetry**: No. 122
**Total magnetization**: 0.00 μB per formula unit
**Polymorph energy (0 for the lowest one)**: 55.41 kJ/mol of atoms
**DFT formation energy**: 0.605 eV/atom

The following is a PBE-GGA calculation of an optimized crystal structure of SrBe2Al, from Alexandria.

Cell lengths 6.8885, 3.9814, 6.1894 Å; angles 90.00, 112.05, 90.00 degrees
Last column: nearest neighbours and their distance in Å.
Fractional coordinates of all 8 atoms:
1 Sr 0.0000 0.0000 0.0000  4 Al 3.26-3.38, 7 Be 3.28-3.44
2 Sr 0.5000 0.5000 0.0000  4 Al 3.26-3.38, 7 Be 3.28-3.44
3 Be 0.3089 0.5000 0.4279  3 Be 2.30, 3 Al 2.43-2.44
4 Be 0.4812 0.0000 0.4441  3 Be 2.30, 3 Al 2.41
5 Be 0.8089 0.0000 0.4279  3 Be 2.30, 3 Al 2.43-2.44
6 Be 0.9812 0.5000 0.4441  3 Be 2.30, 3 Al 2.41
7 Al 0.1895 0.0000 0.5684  6 Be 2.41-2.44
8 Al 0.6895 0.5000 0.5684  6 Be 2.41-2.44

Computed properties:
**Symmetry**: No. 8
**Total magnetization**: 0.00 μB per formula unit
**DFT formation energy**: 0.054 eV/atom

The following is a PBE-GGA calculation of an optimized crystal structure of SrBeAl2, from Alexandria.

Cell lengths 3.2663, 3.4522, 7.2278 Å; angles 90.00, 90.00, 90.00 degrees
Last column: nearest neighbours and their distance in Å.
Fractional coordinates of all 4 atoms:
1 Sr 0.0000 0.0000 0.0000  4 Sr 3.27-3.45, 5 Al 3.28-3.38, 4 Be 3.30
2 Be 0.5000 0.5000 0.6831  5 Al 2.54-2.57
3 Al 0.0000 0.0000 0.5466  4 Be 2.57, 4 Al 2.84
4 Al 0.5000 0.5000 0.3322  1 Be 2.54, 4 Al 2.84

Computed properties:
**Symmetry**: No. 25
**Total magnetization**: 0.00 μB per formula unit
**DFT formation energy**: 0.144 eV/atom

The following is a PBE-GGA calculation of an optimized crystal structure of SrBeAl, from Alexandria.

Cell lengths 6.8382, 6.8382, 6.8382 Å; angles 90.00, 90.00, 90.00 degrees
Last column: nearest neighbours and their distance in Å.
Fractional coordinates of all 12 atoms:
1 Sr 0.0000 0.0000 0.0000  4 Al 2.96
2 Sr 0.0000 0.5000 0.5000  4 Al 2.96
3 Sr 0.5000 0.0000 0.5000  4 Al 2.96
4 Sr 0.5000 0.5000 0.0000  4 Al 2.96
5 Be 0.0000 0.0000 0.5000  4 Al 2.96
6 Be 0.0000 0.5000 0.0000  4 Al 2.96
7 Be 0.5000 0.0000 0.0000  4 Al 2.96
8 Be 0.5000 0.5000 0.5000  4 Al 2.96
9 Al 0.2500 0.2500 0.7500  4 Be 2.96, 4 Sr 2.96
10 Al 0.2500 0.7500 0.2500  4 Be 2.96, 4 Sr 2.96
11 Al 0.7500 0.2500 0.2500  4 Be 2.96, 4 Sr 2.96
12 Al 0.7500 0.7500 0.7500  4 Sr 2.96, 4 Be 2.96

Computed properties:
**Symmetry**: No. 216
**Total magnetization**: 0.67 μB per formula unit
**Polymorph energy (0 for the lowest one)**: 55.58 kJ/mol of atoms
**DFT formation energy**: 0.592 eV/atom

The following is a PBE-GGA calculation of an optimized crystal structure of SrBeAl2, from Alexandria.

Cell lengths 2.9536, 5.5240, 10.0967 Å; angles 90.00, 90.00, 90.00 degrees
Last column: nearest neighbours and their distance in Å.
Fractional coordinates of all 8 atoms:
1 Sr 0.0000 0.0000 0.0000  2 Sr 2.95, 4 Be 3.13
2 Sr 0.5000 0.5000 0.5000  2 Sr 2.95, 4 Be 3.13
3 Be 0.0000 0.0000 0.5000  4 Al 2.50
4 Be 0.5000 0.5000 0.0000  4 Al 2.50
5 Al 0.0000 0.5000 0.1999  2 Be 2.50
6 Al 0.0000 0.5000 0.8001  2 Be 2.50
7 Al 0.5000 0.0000 0.3001  2 Be 2.50
8 Al 0.5000 0.0000 0.6999  2 Be 2.50

Computed properties:
**Symmetry**: No. 71
**Total magnetization**: 0.00 μB per formula unit
**DFT formation energy**: 0.305 eV/atom

The following is a PBE-GGA calculation of an optimized crystal structure of SrBe2Al, from Alexandria.

Cell lengths 3.0859, 3.0859, 7.3188 Å; angles 90.00, 90.00, 90.00 degrees
Last column: nearest neighbours and their distance in Å.
Fractional coordinates of all 4 atoms:
1 Sr 0.0000 0.0000 0.0000  4 Sr 3.09, 5 Be 3.17-3.20, 4 Al 3.37
2 Be 0.0000 0.0000 0.5631  4 Be 2.36
3 Be 0.5000 0.5000 0.6861  4 Be 2.36, 1 Al 2.45
4 Al 0.5000 0.5000 0.3507  5 Be 2.45-2.68

Computed properties:
**Symmetry**: No. 99
**Total magnetization**: 0.00 μB per formula unit
**DFT formation energy**: 0.370 eV/atom

The following is a PBE-GGA calculation of an optimized crystal structure of Sr2BeAl, from Alexandria.

Cell lengths 3.7453, 3.8786, 7.8918 Å; angles 90.00, 90.08, 90.00 degrees
Last column: nearest neighbours and their distance in Å.
Fractional coordinates of all 4 atoms:
1 Sr 0.9996 0.0000 0.2353  4 Be 3.27-3.28, 4 Al 3.41
2 Sr 0.0004 0.0000 0.7647  4 Be 3.27-3.28, 4 Al 3.41
3 Be 0.5000 0.5000 0.0000  8 Sr 3.27-3.28
4 Al 0.5000 0.5000 0.5000  8 Sr 3.41, 2 Al 3.75

Computed properties:
**Symmetry**: No. 10
**Total magnetization**: 0.00 μB per formula unit
**Polymorph energy (0 for the lowest one)**: 19.81 kJ/mol of atoms
**DFT formation energy**: 0.236 eV/atom

The following is a PBE-GGA calculation of an optimized crystal structure of SrBe2Al, from Alexandria.

Cell lengths 3.2140, 4.0638, 6.1401 Å; angles 90.00, 101.28, 90.00 degrees
Last column: nearest neighbours and their distance in Å.
Fractional coordinates of all 4 atoms:
1 Sr 0.0000 0.0000 0.0000  2 Al 3.17, 2 Sr 3.21, 8 Be 3.28-3.46
2 Be 0.3102 0.5000 0.6431  2 Be 2.33-2.39, 2 Al 2.34
3 Be 0.6898 0.5000 0.3569  2 Be 2.33-2.39, 2 Al 2.34
4 Al 0.5000 0.0000 0.5000  4 Be 2.34

Computed properties:
**Symmetry**: No. 10
**Total magnetization**: 0.00 μB per formula unit
**DFT formation energy**: 0.399 eV/atom

The following is a PBE-GGA calculation of an optimized crystal structure of SrBeAl2, from Alexandria.

Cell lengths 3.5928, 4.1393, 6.1803 Å; angles 90.00, 103.65, 90.00 degrees
Last column: nearest neighbours and their distance in Å.
Fractional coordinates of all 4 atoms:
1 Sr 0.0000 0.0000 0.0000  2 Be 3.19, 8 Al 3.34-3.43
2 Be 0.5000 0.0000 0.5000  4 Al 2.45
3 Al 0.3404 0.5000 0.6691  2 Be 2.45, 1 Al 2.61
4 Al 0.6596 0.5000 0.3309  2 Be 2.45, 1 Al 2.61

Computed properties:
**Symmetry**: No. 10
**Total magnetization**: 0.00 μB per formula unit
**DFT formation energy**: 0.155 eV/atom

The following is a PBE-GGA calculation of an optimized crystal structure of SrBeAl2, from Alexandria.

Cell lengths 4.5366, 5.2736, 6.9366 Å; angles 90.00, 90.00, 90.00 degrees
Last column: nearest neighbours and their distance in Å.
Fractional coordinates of all 8 atoms:
1 Sr 0.0000 0.0000 0.0000  4 Be 2.98-3.08, 5 Al 3.02-3.29
2 Sr 0.5000 0.5000 0.5000  4 Be 2.98-3.08, 5 Al 3.02-3.29
3 Be 0.0000 0.5000 0.8005  3 Al 2.57-2.85
4 Be 0.5000 0.0000 0.3005  3 Al 2.57-2.85
5 Al 0.0000 0.0000 0.4742  2 Be 2.57, 2 Al 2.81
6 Al 0.0000 0.5000 0.2121  2 Al 2.81, 1 Be 2.85, 4 Sr 3.02
7 Al 0.5000 0.0000 0.7121  2 Al 2.81, 1 Be 2.85, 4 Sr 3.02
8 Al 0.5000 0.5000 0.9742  2 Be 2.57, 2 Al 2.81

Computed properties:
**Symmetry**: No. 44
**Total magnetization**: 0.00 μB per formula unit
**DFT formation energy**: 0.260 eV/atom

The following is a PBE-GGA calculation of an optimized crystal structure of SrBeAl, from Alexandria.

Cell lengths 3.3223, 3.3223, 11.7414 Å; angles 90.00, 90.00, 90.00 degrees
Last column: nearest neighbours and their distance in Å.
Fractional coordinates of all 6 atoms:
1 Sr 0.0000 0.0000 0.0000  5 Be 3.27-3.60, 4 Sr 3.32, 5 Al 3.39-3.41
2 Sr 0.5000 0.5000 0.5000  5 Be 3.27-3.60, 4 Sr 3.32, 5 Al 3.39-3.41
3 Be 0.0000 0.0000 0.3065  4 Al 2.60
4 Be 0.5000 0.5000 0.8065  4 Al 2.60
5 Al 0.0000 0.0000 0.7109  4 Be 2.60
6 Al 0.5000 0.5000 0.2109  4 Be 2.60

Computed properties:
**Symmetry**: No. 107
**Total magnetization**: 0.00 μB per formula unit
**Polymorph energy (0 for the lowest one)**: 26.06 kJ/mol of atoms
**DFT formation energy**: 0.286 eV/atom

The following is a PBE-GGA calculation of an optimized crystal structure of SrBeAl2, from Alexandria.

Cell lengths 4.3030, 4.3030, 4.5553 Å; angles 90.00, 90.00, 90.00 degrees
Last column: nearest neighbours and their distance in Å.
Fractional coordinates of all 4 atoms:
1 Sr 0.0000 0.0000 0.0000  4 Be 3.04, 8 Al 3.13
2 Be 0.5000 0.5000 0.0000  4 Sr 3.04, 8 Al 3.13
3 Al 0.0000 0.5000 0.5000  4 Al 3.04, 4 Be 3.13, 4 Sr 3.13
4 Al 0.5000 0.0000 0.5000  4 Al 3.04, 4 Be 3.13, 4 Sr 3.13

Computed properties:
**Symmetry**: No. 123
**Total magnetization**: 0.00 μB per formula unit
**DFT formation energy**: 0.356 eV/atom

The following is a PBE-GGA calculation of an optimized crystal structure of SrBeAl3, from Alexandria.

Cell lengths 5.9880, 5.9880, 5.9880 Å; angles 90.00, 90.00, 90.00 degrees
Last column: nearest neighbours and their distance in Å.
Fractional coordinates of all 5 atoms:
1 Sr 0.0000 0.0000 0.0000  6 Al 2.99
2 Be 0.5000 0.5000 0.5000  12 Al 4.23
3 Al 0.0000 0.0000 0.5000  2 Sr 2.99
4 Al 0.0000 0.5000 0.0000  2 Sr 2.99
5 Al 0.5000 0.0000 0.0000  2 Sr 2.99

Computed properties:
**Symmetry**: No. 221
**Total magnetization**: 0.00 μB per formula unit
**Polymorph energy (0 for the lowest one)**: 162.36 kJ/mol of atoms
**DFT formation energy**: 1.882 eV/atom

The following is a PBE-GGA calculation of an optimized crystal structure of SrBe2Al, from Alexandria.

Cell lengths 4.5437, 4.5437, 3.7283 Å; angles 90.00, 90.00, 90.00 degrees
Last column: nearest neighbours and their distance in Å.
Fractional coordinates of all 4 atoms:
1 Sr 0.0000 0.0000 0.0000  8 Be 2.94, 4 Al 3.21
2 Be 0.0000 0.5000 0.5000  4 Al 2.94, 4 Sr 2.94, 4 Be 3.21
3 Be 0.5000 0.0000 0.5000  4 Al 2.94, 4 Sr 2.94, 4 Be 3.21
4 Al 0.5000 0.5000 0.0000  8 Be 2.94, 4 Sr 3.21

Computed properties:
**Symmetry**: No. 123
**Total magnetization**: 0.00 μB per formula unit
**DFT formation energy**: 0.671 eV/atom